DFT (PBE) results for a relaxed structure of LiBeFe.

POSCAR file:
```
LiBeFe
1.0
2.435 0.000 0.000
-1.217 2.109 0.000
0.000 0.000 6.272
Li Be Fe
1 1 1
Direct
0.000 0.000 0.000
0.667 0.333 0.352
0.333 0.667 0.647
```

Computed properties:
For the energy relative to the elements, the calculation gives 0.46 eV/f.u. The space-group type is No. 156. The density of states at the Fermi level comes out at 1.25 states/eV/cell. As for the total magnetic moment: 1.5 Bohr magnetons per cell. The value obtained for the final energy is -13.64 eV/cell. Its volume is 10.73 Å³/atom.

=====

DFT (PBE) results for a relaxed structure of InGaCl.

POSCAR file:
```
InGaCl
1.0
3.629 0.000 0.000
0.042 5.839 0.000
0.053 2.147 8.236
In Ga Cl
2 2 2
Direct
0.249 0.107 0.343
0.751 0.893 0.657
0.251 0.570 0.883
0.749 0.430 0.117
0.254 0.249 0.754
0.746 0.751 0.246
```

Computed properties:
The space-group type is No. 2. The density of states at the Fermi level comes out at 1.37 states/eV/cell. As for the total magnetic moment: 0.0 Bohr magnetons per cell. The value obtained for the final energy is -17.71 eV/cell. Its volume is 29.09 Å³/atom.

=====

DFT (PBE) results for a relaxed structure of Nd2ThPt.

POSCAR file:
```
Nd2ThPt
1.0
3.662 0.000 0.000
0.000 3.662 0.000
0.000 0.000 8.457
Nd Th Pt
2 1 1
Direct
0.000 0.000 0.204
0.000 0.000 0.796
0.500 0.500 0.500
0.500 0.500 0.000
```

Computed properties:
For the energy relative to the elements, the calculation gives -1.88 eV/f.u. The space-group type is No. 123. The density of states at the Fermi level comes out at 5.03 states/eV/cell. As for the total magnetic moment: 0.0 Bohr magnetons per cell. The value obtained for the final energy is -24.88 eV/cell. Its volume is 28.35 Å³/atom.